No. 1
Computed, not measured: Y3MnAg3S8 after structural relaxation at the PBE level of DFT.

Structure (extended XYZ):
```
15
Lattice="6.737 -3.899 0.000 6.737 3.899 0.000 -4.526 0.000 6.379" Properties=species:S:1:pos:R:3 pbc="T T T"
Y 0.000 0.000 0.000
Y 1.105 1.950 3.190
Y 1.105 -1.950 3.190
Mn 6.737 0.000 0.000
Ag 3.368 1.950 0.000
Ag 3.368 -1.950 0.000
Ag 4.473 0.000 3.190
S 2.162 0.000 1.632
S 0.251 0.000 4.959
S 5.750 1.718 1.392
S 3.197 1.718 4.988
S 5.750 -1.718 1.392
S 3.197 -1.718 4.988
S 8.696 0.000 1.420
S 6.784 0.000 4.747
```

## Properties
Space-group type: C2/m (12)
DOS at the Fermi energy, states/eV/cell: 0.87
ΔE_f (raw), meV per atom: -1078
V, Å³/cell: 335
Total magnetic moment, μB/atom: 0.2020

No. 2
Computed, not measured: Mn2ZnAgS after structural relaxation at the PBE level of DFT.

Structure (extended XYZ):
```
5
Lattice="4.362 0.000 0.000 0.000 4.362 0.000 0.000 0.000 4.769" Properties=species:S:1:pos:R:3 pbc="T T T"
Mn 0.000 2.181 0.000
Mn 2.181 0.000 0.000
Zn 0.000 0.000 2.385
Ag 2.181 2.181 2.385
S 2.181 2.181 0.000
```

## Properties
Space-group type: P4/mmm (123)
DOS at the Fermi energy, states/eV/cell: 2.92
ΔE_f (raw), meV per atom: 329
V, Å³/cell: 91
Total magnetic moment, μB/atom: 1.3280

No. 3
Computed, not measured: Zr3MnAg3S8 after structural relaxation at the PBE level of DFT.

Structure (extended XYZ):
```
15
Lattice="6.397 -3.690 0.000 6.397 3.690 0.000 -4.278 0.000 6.592" Properties=species:S:1:pos:R:3 pbc="T T T"
Zr 0.000 0.000 0.000
Zr 3.198 1.845 0.000
Zr 3.198 -1.845 0.000
Mn 6.397 0.000 0.000
Ag 1.060 1.845 3.296
Ag 1.060 -1.845 3.296
Ag 4.258 0.000 3.296
S 2.131 0.000 1.491
S 5.339 1.830 1.473
S 0.004 0.000 5.119
S 3.177 1.830 5.119
S 5.339 -1.830 1.473
S 8.511 0.000 1.472
S 3.177 -1.830 5.119
S 6.385 0.000 5.100
```

## Properties
Space-group type: C2/m (12)
DOS at the Fermi energy, states/eV/cell: 6.57
ΔE_f (raw), meV per atom: -874
V, Å³/cell: 311
Total magnetic moment, μB/atom: 0.3071

No. 4
Computed, not measured: ZrMnAgS4 after structural relaxation at the PBE level of DFT.

Structure (extended XYZ):
```
14
Lattice="-3.755 3.801 5.159 3.755 -3.801 5.159 3.755 3.801 -5.159" Properties=species:S:1:pos:R:3 pbc="T T T"
Zr 0.000 0.000 0.000
Zr 0.000 3.801 0.000
Mn -1.877 1.901 2.580
Mn 1.877 1.901 2.580
Ag 3.755 1.901 -1.425
Ag 0.000 1.901 6.584
S 1.763 1.901 0.130
S 1.992 -1.901 5.289
S 0.000 0.274 2.549
S 3.755 0.274 2.610
S 0.000 3.527 2.549
S 3.755 3.527 2.610
S 1.763 5.702 -0.130
S 1.992 1.901 5.029
```

## Properties
Space-group type: Imma (74)
DOS at the Fermi energy, states/eV/cell: 3.48
ΔE_f (raw), meV per atom: -846
V, Å³/cell: 295
Total magnetic moment, μB/atom: 0.5700

No. 5
Computed, not measured: MnAg2Sb2 after structural relaxation at the PBE level of DFT.

Structure (extended XYZ):
```
10
Lattice="7.218 0.000 0.000 0.000 7.218 0.000 0.000 0.000 4.318" Properties=species:S:1:pos:R:3 pbc="T T T"
Mn 0.000 0.000 0.000
Mn 3.609 3.609 0.000
Ag 1.045 2.564 2.159
Ag 2.564 6.173 2.159
Ag 4.654 1.045 2.159
Ag 6.173 4.654 2.159
Sb 1.156 4.765 0.000
Sb 2.453 1.156 0.000
Sb 4.765 6.061 0.000
Sb 6.061 2.453 0.000
```

## Properties
Space-group type: P4/mbm (127)
DOS at the Fermi energy, states/eV/cell: 6.68
ΔE_f (raw), meV per atom: 251
V, Å³/cell: 225
Total magnetic moment, μB/atom: 0.7058

No. 6
Computed, not measured: MnAgSb after structural relaxation at the PBE level of DFT.

Structure (extended XYZ):
```
3
Lattice="0.000 2.268 6.333 2.103 0.000 6.333 2.103 2.268 0.000" Properties=species:S:1:pos:R:3 pbc="T T T"
Mn 0.000 0.000 0.000
Ag 2.103 2.268 4.511
Sb 2.103 2.268 8.304
```

## Properties
Space-group type: Fmm2 (42)
DOS at the Fermi energy, states/eV/cell: 1.88
ΔE_f (raw), meV per atom: 267
V, Å³/cell: 60
Total magnetic moment, μB/atom: 1.2598